# 1
Below is a relaxed structure of UGePt4, with properties calculated at the GGA-PBE level.

The structure in POSCAR format:
```
UGePt4
1.0
0.000 3.791 3.791
3.791 0.000 3.791
3.791 3.791 0.000
U Ge Pt
1 1 4
Direct
0.000 0.000 0.000 U
0.250 0.250 0.250 Ge
0.126 0.625 0.625 Pt
0.625 0.126 0.625 Pt
0.625 0.625 0.126 Pt
0.625 0.625 0.625 Pt
```

Fermi-level density of states: 8.29 states/eV/cell
Electronic total energy: -7.1345 eV/atom
Magnetization: 2.0 μB/f.u.
Formation energy: -0.456 eV/atom
ρ: 16.627 g cm⁻³
Energy above the lowest structure with this stoichiometry: 19.5 meV per atom
V: 18.16 A^3/atom

# 2
Below is a relaxed structure of LaTbNiAu, with properties calculated at the GGA-PBE level.

The structure in POSCAR format:
```
LaTbNiAu
1.0
7.222 0.000 0.000
0.000 7.222 0.000
0.000 0.000 7.222
La Tb Ni Au
4 4 4 4
Direct
0.000 0.000 0.000 La
0.000 0.500 0.500 La
0.500 0.000 0.500 La
0.500 0.500 0.000 La
0.000 0.000 0.500 Tb
0.000 0.500 0.000 Tb
0.500 0.000 0.000 Tb
0.500 0.500 0.500 Tb
0.250 0.250 0.250 Ni
0.250 0.750 0.750 Ni
0.750 0.250 0.750 Ni
0.750 0.750 0.250 Ni
0.250 0.250 0.750 Au
0.250 0.750 0.250 Au
0.750 0.250 0.250 Au
0.750 0.750 0.750 Au
```

Fermi-level density of states: 11.51 states/eV/cell
Electronic total energy: -5.1587 eV/atom
Magnetization: 0.0 μB/f.u.
Formation energy: -0.505 eV/atom
ρ: 9.758 g cm⁻³
V: 23.55 A^3/atom

# 3
Below is a relaxed structure of PrSm5Er2Sc, with properties calculated at the GGA-PBE level.

The structure in POSCAR format:
```
PrSm5Er2Sc
1.0
2.812 -10.059 0.000
2.812 10.059 0.000
0.000 0.000 10.454
Pr Sm Er Sc
2 10 4 2
Direct
0.089 0.911 0.500 Pr
0.911 0.089 0.000 Pr
0.017 0.983 0.786 Sm
0.124 0.876 0.064 Sm
0.202 0.798 0.752 Sm
0.224 0.776 0.366 Sm
0.483 0.517 0.061 Sm
0.517 0.483 0.561 Sm
0.776 0.224 0.866 Sm
0.798 0.202 0.252 Sm
0.876 0.124 0.564 Sm
0.983 0.017 0.286 Sm
0.385 0.615 0.780 Er
0.387 0.613 0.356 Er
0.613 0.387 0.856 Er
0.615 0.385 0.280 Er
0.305 0.695 0.059 Sc
0.695 0.305 0.559 Sc
```

Fermi-level density of states: 28.92 states/eV/cell
Electronic total energy: -4.7020 eV/atom
Magnetization: 0.0 μB/f.u.
Formation energy: 0.168 eV/atom
ρ: 7.143 g cm⁻³
V: 32.86 A^3/atom

# 4
Below is a relaxed structure of PrYSn, with properties calculated at the GGA-PBE level.

The structure in POSCAR format:
```
PrYSn
1.0
4.167 0.000 0.000
0.000 4.167 0.000
0.000 0.000 10.047
Pr Y Sn
2 2 2
Direct
0.000 0.000 0.000 Pr
0.500 0.500 0.500 Pr
0.000 0.000 0.688 Y
0.500 0.500 0.188 Y
0.000 0.000 0.337 Sn
0.500 0.500 0.837 Sn
```

Fermi-level density of states: 8.00 states/eV/cell
Electronic total energy: -5.5337 eV/atom
Magnetization: 0.0 μB/f.u.
Formation energy: -0.452 eV/atom
ρ: 6.634 g cm⁻³
Energy above the lowest structure with this stoichiometry: 151.1 meV per atom
V: 29.08 A^3/atom

# 5
Below is a relaxed structure of Sc12Tl3Ir, with properties calculated at the GGA-PBE level.

The structure in POSCAR format:
```
Sc12Tl3Ir
1.0
4.521 0.000 0.000
0.000 4.521 0.000
0.000 0.000 17.501
Sc Tl Ir
12 3 1
Direct
0.000 0.000 0.000 Sc
0.000 0.000 0.240 Sc
0.000 0.000 0.500 Sc
0.000 0.000 0.760 Sc
0.000 0.500 0.106 Sc
0.000 0.500 0.370 Sc
0.000 0.500 0.630 Sc
0.000 0.500 0.894 Sc
0.500 0.000 0.106 Sc
0.500 0.000 0.370 Sc
0.500 0.000 0.630 Sc
0.500 0.000 0.894 Sc
0.500 0.500 0.242 Tl
0.500 0.500 0.500 Tl
0.500 0.500 0.758 Tl
0.500 0.500 0.000 Ir
```

Fermi-level density of states: 19.24 states/eV/cell
Electronic total energy: -6.0121 eV/atom
Magnetization: 3.8 μB/f.u.
Formation energy: -0.266 eV/atom
ρ: 6.243 g cm⁻³
V: 22.36 A^3/atom

# 6
Below is a relaxed structure of Mg2MnCr, with properties calculated at the GGA-PBE level.

The structure in POSCAR format:
```
Mg2MnCr
1.0
3.303 0.000 0.000
0.000 3.264 0.000
-0.009 0.000 6.484
Mg Mn Cr
2 1 1
Direct
0.000 0.000 0.246 Mg
0.000 0.000 0.754 Mg
0.500 0.500 0.000 Mn
0.500 0.500 0.500 Cr
```

Fermi-level density of states: 3.33 states/eV/cell
Electronic total energy: -5.0574 eV/atom
Magnetization: 7.0 μB/f.u.
Formation energy: 0.438 eV/atom
ρ: 3.695 g cm⁻³
Energy above the lowest structure with this stoichiometry: 276.0 meV per atom
V: 17.48 A^3/atom